Entry from Alexandria: a geometry-optimized V5Fe2Ir2W structure (PBE).

Lattice parameters (Å, degrees): 9.3718 9.3718 3.0866 90.00 90.00 90.00
Closest atoms and distances in Å follow each position.
Atoms (fractional coordinates):
V: 0.0000 0.5000 0.0000  4 Fe 2.27
V: 0.0693 0.2020 0.0000  2 Fe 2.29, 2 W 2.53
V: 0.2020 0.9307 0.0000  2 Fe 2.29, 2 W 2.53
V: 0.2980 0.4307 0.0000  2 Fe 2.29, 2 W 2.53
V: 0.4307 0.7020 0.0000  2 Fe 2.29, 2 W 2.53
V: 0.5000 0.0000 0.0000  4 Fe 2.27
V: 0.5693 0.2980 0.0000  2 Fe 2.29, 2 W 2.53
V: 0.7020 0.5693 0.0000  2 Fe 2.29, 2 W 2.53
V: 0.7980 0.0693 0.0000  2 Fe 2.29, 2 W 2.53
V: 0.9307 0.7980 0.0000  2 Fe 2.29, 2 W 2.53
Fe: 0.1259 0.3741 0.5000  6 V 2.27-2.29
Fe: 0.3741 0.8741 0.5000  6 V 2.27-2.29
Fe: 0.6259 0.1259 0.5000  6 V 2.27-2.29
Fe: 0.8741 0.6259 0.5000  6 V 2.27-2.29
Ir: 0.1723 0.6723 0.5000  3 Fe 2.68-2.83, 10 V 2.76-2.98
Ir: 0.3277 0.1723 0.5000  3 Fe 2.68-2.83, 10 V 2.76-2.98
Ir: 0.6723 0.8277 0.5000  3 Fe 2.68-2.83, 10 V 2.76-2.98
Ir: 0.8277 0.3277 0.5000  3 Fe 2.68-2.83, 10 V 2.76-2.98
W: 0.0000 0.0000 0.5000  8 V 2.53
W: 0.5000 0.5000 0.5000  8 V 2.53

## Properties
Formation energy: 0.43 eV/f.u.

Entry from Alexandria: a geometry-optimized FeIr5W4 structure (PBE).

Lattice parameters (Å, degrees): 2.7830 2.7830 19.2739 90.00 90.00 90.00
Closest atoms and distances in Å follow each position.
Atoms (fractional coordinates):
Fe: 0.0000 0.0000 0.0000  8 Ir 2.69, 4 Fe 2.78
Ir: 0.5000 0.5000 0.0950  4 Fe 2.69, 4 W 2.73, 4 Ir 2.78
Ir: 0.5000 0.5000 0.2962  8 W 2.77-2.80, 4 Ir 2.78
Ir: 0.5000 0.5000 0.5000  4 Ir 2.78, 8 W 2.79
Ir: 0.5000 0.5000 0.7038  8 W 2.77-2.80, 4 Ir 2.78
Ir: 0.5000 0.5000 0.9050  4 Fe 2.69, 4 W 2.73, 4 Ir 2.78
W: 0.0000 0.0000 0.1932  8 Ir 2.73-2.80, 4 W 2.78
W: 0.0000 0.0000 0.3977  8 Ir 2.77-2.79, 4 W 2.78
W: 0.0000 0.0000 0.6023  8 Ir 2.77-2.79, 4 W 2.78
W: 0.0000 0.0000 0.8068  8 Ir 2.73-2.80, 4 W 2.78

## Properties
Formation energy: -2.29 eV/f.u.

Entry from Alexandria: a geometry-optimized FeIrW structure (PBE).

Lattice parameters (Å, degrees): 4.1095 4.1095 4.1095 60.00 60.00 60.00
Closest atoms and distances in Å follow each position.
Atoms (fractional coordinates):
Fe: 0.0000 0.0000 0.0000  4 W 2.52
Ir: 0.5000 0.5000 0.5000  4 W 2.52
W: 0.7500 0.7500 0.7500  4 Fe 2.52, 4 Ir 2.52

## Properties
Formation energy: 1.23 eV/f.u.

Entry from Alexandria: a geometry-optimized FeIrW structure (PBE).

Lattice parameters (Å, degrees): 6.0420 6.0420 6.0420 154.12 154.12 36.92
Closest atoms and distances in Å follow each position.
Atoms (fractional coordinates):
Fe: 0.0000 0.0000 0.0000  4 Ir 2.62, 4 Fe 2.71, 4 W 2.71
Ir: 0.6567 0.6567 0.0000  4 Fe 2.62, 4 Ir 2.71, 4 W 2.78
W: 0.3324 0.3324 0.0000  4 W 2.71, 4 Fe 2.71, 4 Ir 2.78

## Properties
Formation energy: -0.07 eV/f.u.

Entry from Alexandria: a geometry-optimized Fe3Ir4W structure (PBE).

Lattice parameters (Å, degrees): 4.6109 4.6109 7.6712 114.55 114.55 49.23
Closest atoms and distances in Å follow each position.
Atoms (fractional coordinates):
Fe: 0.0000 0.0000 0.0000  8 Ir 2.65-2.68, 4 Fe 2.70
Fe: 0.4992 0.4992 0.2477  8 Ir 2.64-2.72, 2 Fe 2.70, 2 W 2.72
Fe: 0.5008 0.5008 0.7523  8 Ir 2.64-2.72, 2 Fe 2.70, 2 W 2.72
Ir: 0.2485 0.2485 0.3711  5 Fe 2.65-2.72, 3 W 2.68, 4 Ir 2.71-2.75
Ir: 0.2525 0.2525 0.8784  7 Fe 2.64-2.69, 4 Ir 2.69-2.71, 1 W 2.70
Ir: 0.7475 0.7475 0.1216  7 Fe 2.64-2.69, 4 Ir 2.69-2.71, 1 W 2.70
Ir: 0.7515 0.7515 0.6289  5 Fe 2.65-2.72, 3 W 2.68, 4 Ir 2.71-2.75
W: 0.0000 0.0000 0.5000  8 Ir 2.68-2.70, 4 Fe 2.72

## Properties
Formation energy: -1.05 eV/f.u.

Entry from Alexandria: a geometry-optimized Fe2Ir2W structure (PBE).

Lattice parameters (Å, degrees): 5.0661 5.0661 7.3239 105.74 105.74 49.74
Closest atoms and distances in Å follow each position.
Atoms (fractional coordinates):
Fe: 0.0415 0.0415 0.3574  2 Fe 2.43, 1 W 2.51, 5 Ir 2.58-2.64
Fe: 0.1323 0.1323 0.0785  2 Fe 2.36-2.43, 2 W 2.49
Fe: 0.8677 0.8677 0.9215  2 Fe 2.36-2.43, 2 W 2.49
Fe: 0.9585 0.9585 0.6426  2 Fe 2.43, 1 W 2.51, 5 Ir 2.58-2.64
Ir: 0.3372 0.3372 0.4627  4 Fe 2.58-2.88, 3 W 2.72-2.74, 4 Ir 2.75-2.88
Ir: 0.4389 0.4389 0.1458  7 Fe 2.64-2.91, 2 Ir 2.69-2.75, 4 W 2.74-2.86
Ir: 0.5611 0.5611 0.8542  7 Fe 2.64-2.91, 2 Ir 2.69-2.75, 4 W 2.74-2.86
Ir: 0.6628 0.6628 0.5373  4 Fe 2.58-2.88, 3 W 2.72-2.74, 4 Ir 2.75-2.88
W: 0.2438 0.2438 0.7811  4 Fe 2.49-2.67, 4 Ir 2.72-2.74
W: 0.7562 0.7562 0.2189  4 Fe 2.49-2.67, 4 Ir 2.72-2.74

## Properties
Formation energy: -0.09 eV/f.u.